Material: SrHo3Pd
Method: DFT, PBE
State: relaxed

Cell: 5.547 5.547 5.547 Å, 90.00 90.00 90.00°
Space group Pm-3m (No. 221)
Asymmetric unit:
Sr 0.000 0.000 0.000
Ho 0.000 0.500 0.500
Pd 0.500 0.500 0.500

VASP energy in eV/atom: -4.30
Spin magnetization in μB/atom: 0.00
DOS at the Fermi energy in states/eV/cell: 8.0
ΔE_f in eV/atom: -0.1821
Calculated volume in Å³ per atom: 34.14

=====

Material: SrHoTlPd
Method: DFT, PBE
State: relaxed

Cell: 7.530 7.530 7.530 Å, 90.00 90.00 90.00°
Space group F-43m (No. 216)
Asymmetric unit:
Sr 0.000 0.000 0.000
Ho 0.000 0.000 0.500
Tl 0.250 0.250 0.250
Pd 0.250 0.250 0.750

VASP energy in eV/atom: -3.86
Spin magnetization in μB/atom: 0.00
DOS at the Fermi energy in states/eV/cell: 10.1
ΔE_f in eV/atom: -0.4093
Calculated volume in Å³ per atom: 26.68

=====

Material: SrHoZnPd
Method: DFT, PBE
State: relaxed

Cell: 7.287 7.287 7.287 Å, 90.00 90.00 90.00°
Space group F-43m (No. 216)
Asymmetric unit:
Sr 0.000 0.000 0.000
Ho 0.000 0.000 0.500
Zn 0.250 0.250 0.750
Pd 0.250 0.250 0.250

VASP energy in eV/atom: -3.58
Spin magnetization in μB/atom: 0.00
DOS at the Fermi energy in states/eV/cell: 12.5
ΔE_f in eV/atom: -0.3938
Calculated volume in Å³ per atom: 24.18

=====

Material: Ho2TaPd9
Method: DFT, PBE
State: relaxed

Cell: 4.055 4.055 12.218 Å, 90.00 90.00 90.00°
Space group P4/mmm (No. 123)
Asymmetric unit:
Ho 0.000 0.000 0.166
Ta 0.000 0.000 0.500
Pd 0.000 0.500 0.000
Pd 0.000 0.500 0.346
Pd 0.500 0.500 0.174
Pd 0.500 0.500 0.500

VASP energy in eV/atom: -6.43
Spin magnetization in μB/atom: 0.00
DOS at the Fermi energy in states/eV/cell: 1.6
ΔE_f in eV/atom: -0.7846
Calculated volume in Å³ per atom: 16.74

=====

Material: HoTaPd6
Method: DFT, PBE
State: relaxed

Cell: 4.033 4.033 8.089 Å, 90.00 90.00 90.00°
Space group P4/mmm (No. 123)
Asymmetric unit:
Ho 0.000 0.000 0.000
Ta 0.000 0.000 0.500
Pd 0.000 0.500 0.265
Pd 0.500 0.500 0.000
Pd 0.500 0.500 0.500

VASP energy in eV/atom: -6.64
Spin magnetization in μB/atom: 0.00
DOS at the Fermi energy in states/eV/cell: 2.4
ΔE_f in eV/atom: -0.6889
Calculated volume in Å³ per atom: 16.45

=====

Material: HoTa2Pd9
Method: DFT, PBE
State: relaxed

Cell: 4.009 4.009 12.095 Å, 90.00 90.00 90.00°
Space group P4/mmm (No. 123)
Asymmetric unit:
Ho 0.000 0.000 0.000
Ta 0.000 0.000 0.333
Pd 0.000 0.500 0.179
Pd 0.000 0.500 0.500
Pd 0.500 0.500 0.000
Pd 0.500 0.500 0.340

VASP energy in eV/atom: -6.81
Spin magnetization in μB/atom: 0.00
DOS at the Fermi energy in states/eV/cell: 9.2
ΔE_f in eV/atom: -0.5581
Calculated volume in Å³ per atom: 16.20

=====

Material: Tb5HoPd2
Method: DFT, PBE
State: relaxed

Cell: 3.826 12.554 18.353 Å, 90.00 90.00 90.00°
Space group Cmcm (No. 63)
Asymmetric unit:
Tb 0.000 0.056 0.110
Tb 0.000 0.351 0.040
Tb 0.000 0.372 0.750
Ho 0.000 0.362 0.250
Pd 0.000 0.238 0.632

VASP energy in eV/atom: -5.12
Spin magnetization in μB/atom: 0.00
DOS at the Fermi energy in states/eV/cell: 31.8
ΔE_f in eV/atom: -0.3605
Calculated volume in Å³ per atom: 27.55

=====

Material: TbHo5Pd6
Method: DFT, PBE
State: relaxed

Cell: 5.004 14.956 6.858 Å, 90.00 90.00 90.00°
Space group Cmmm (No. 65)
Asymmetric unit:
Tb 0.000 0.000 0.000
Ho 0.000 0.000 0.500
Ho 0.000 0.333 0.000
Ho 0.000 0.333 0.500
Pd 0.000 0.168 0.251
Pd 0.000 0.500 0.253

VASP energy in eV/atom: -5.79
Spin magnetization in μB/atom: 0.00
DOS at the Fermi energy in states/eV/cell: 15.1
ΔE_f in eV/atom: -0.8964
Calculated volume in Å³ per atom: 21.39

=====

Material: Tb2Ho5Pd4
Method: DFT, PBE
State: relaxed

Cell: 24.560 3.588 6.759 Å, 90.00 92.05 90.00°
Space group C2/m (No. 12)
Asymmetric unit:
Tb 0.092 0.000 0.169
Ho 0.000 0.500 0.500
Ho 0.134 0.000 0.679
Ho 0.236 0.000 0.252
Pd 0.026 0.000 0.813
Pd 0.171 0.500 0.994

VASP energy in eV/atom: -5.23
Spin magnetization in μB/atom: 0.00
DOS at the Fermi energy in states/eV/cell: 21.9
ΔE_f in eV/atom: -0.4225
Calculated volume in Å³ per atom: 27.05

=====

Material: TbHoPd4
Method: DFT, PBE
State: relaxed

Cell: 7.699 7.699 7.699 Å, 90.00 90.00 90.00°
Space group F-43m (No. 216)
Asymmetric unit:
Tb 0.000 0.000 0.000
Ho 0.250 0.250 0.750
Pd 0.125 0.125 0.375

Relative energy among the computed polymorphs in eV per atom: 0.0000
VASP energy in eV/atom: -5.81
Spin magnetization in μB/atom: 0.00
DOS at the Fermi energy in states/eV/cell: 12.9
ΔE_f in eV/atom: -0.8114
Calculated volume in Å³ per atom: 19.02

=====

Material: Tb2Ho3Pd2
Method: DFT, PBE
State: relaxed

Cell: 3.697 6.577 8.345 Å, 83.92 77.33 73.74°
Space group P-1 (No. 2)
Asymmetric unit:
Tb 0.113 0.149 0.125
Ho 0.343 0.601 0.214
Ho 0.500 0.000 0.500
Pd 0.141 0.646 0.573

Relative energy among the computed polymorphs in eV per atom: 0.1343
VASP energy in eV/atom: -5.16
Spin magnetization in μB/atom: 0.00
DOS at the Fermi energy in states/eV/cell: 8.7
ΔE_f in eV/atom: -0.3963
Calculated volume in Å³ per atom: 27.12

=====

Material: Tb3Ho3Pd4
Method: DFT, PBE
State: relaxed

Cell: 3.955 11.055 10.991 Å, 90.00 90.00 90.00°
Space group Amm2 (No. 38)
Asymmetric unit:
Tb 0.000 0.000 0.000
Tb 0.000 0.166 0.665
Ho 0.000 0.000 0.331
Ho 0.500 0.250 0.415
Pd 0.500 0.000 0.531
Pd 0.500 0.000 0.797
Pd 0.500 0.132 0.167

VASP energy in eV/atom: -5.57
Spin magnetization in μB/atom: 0.00
DOS at the Fermi energy in states/eV/cell: 16.5
ΔE_f in eV/atom: -0.7330
Calculated volume in Å³ per atom: 24.03

=====

Material: TbHo3Pd3
Method: DFT, PBE
State: relaxed

Cell: 9.189 10.418 7.078 Å, 90.00 91.99 90.00°
Space group C2/m (No. 12)
Asymmetric unit:
Tb 0.237 0.000 0.377
Ho 0.000 0.251 0.500
Ho 0.000 0.323 0.000
Ho 0.153 0.000 0.866
Pd 0.062 0.500 0.306
Pd 0.242 0.246 0.221

Relative energy among the computed polymorphs in eV per atom: 0.0046
VASP energy in eV/atom: -5.55
Spin magnetization in μB/atom: 0.00
DOS at the Fermi energy in states/eV/cell: 20.1
ΔE_f in eV/atom: -0.7032
Calculated volume in Å³ per atom: 24.19

=====

Material: TbHo4Pd2
Method: DFT, PBE
State: relaxed

Cell: 3.9348 3.9348 45.0129 Å, 90.00 90.00 120.00°
Space group R-3m (No. 166, hexagonal axes)
Asymmetric unit:
Tb 0.0000 0.0000 0.0000
Ho 0.0000 0.0000 0.1979
Ho 0.0000 0.0000 0.3956
Pd 0.0000 0.0000 0.0989

Relative energy among the computed polymorphs in eV per atom: 0.0812
VASP energy in eV/atom: -5.12
Spin magnetization in μB/atom: 0.00
DOS at the Fermi energy in states/eV/cell: 27.3
ΔE_f in eV/atom: -0.3615
Calculated volume in Å³ per atom: 28.74

=====

Material: TbHoPd
Method: DFT, PBE
State: relaxed

Cell: 6.909 6.909 6.909 Å, 90.00 90.00 90.00°
Space group F-43m (No. 216)
Asymmetric unit:
Tb 0.000 0.000 0.000
Ho 0.000 0.000 0.500
Pd 0.250 0.250 0.750

Relative energy among the computed polymorphs in eV per atom: 0.0864
VASP energy in eV/atom: -5.28
Spin magnetization in μB/atom: 0.00
DOS at the Fermi energy in states/eV/cell: 12.5
ΔE_f in eV/atom: -0.4750
Calculated volume in Å³ per atom: 27.48

=====

Material: Tb3Ho4Pd4
Method: DFT, PBE
State: relaxed

Cell: 4.626 7.718 15.411 Å, 90.00 90.00 90.00°
Space group Immm (No. 71)
Asymmetric unit:
Tb 0.000 0.000 0.000
Tb 0.000 0.500 0.104
Ho 0.000 0.288 0.329
Pd 0.000 0.000 0.208
Pd 0.000 0.181 0.500

VASP energy in eV/atom: -5.39
Spin magnetization in μB/atom: 0.00
DOS at the Fermi energy in states/eV/cell: 25.2
ΔE_f in eV/atom: -0.5726
Calculated volume in Å³ per atom: 25.01

=====

Material: TbHo3Pd3
Method: DFT, PBE
State: relaxed

Cell: 9.8504 9.8504 6.0120 Å, 90.00 90.00 120.00°
Space group R-3m (No. 166, hexagonal axes)
Asymmetric unit:
Tb 0.0000 0.0000 0.0000
Ho 0.0000 0.5000 0.0000
Pd 0.0000 0.5000 0.5000

Relative energy among the computed polymorphs in eV per atom: 0.0000
VASP energy in eV/atom: -5.56
Spin magnetization in μB/atom: 0.00
DOS at the Fermi energy in states/eV/cell: 18.2
ΔE_f in eV/atom: -0.7077
Calculated volume in Å³ per atom: 24.06

=====

Material: Tb4HoPd4
Method: DFT, PBE
State: relaxed

Cell: 8.936 8.936 5.827 Å, 90.00 90.00 90.00°
Space group P4_2/n (No. 86, origin choice 2)
Asymmetric unit:
Tb 0.066 0.660 0.160
Ho 0.250 0.250 0.250
Pd 0.030 0.629 0.655

VASP energy in eV/atom: -5.54
Spin magnetization in μB/atom: 0.00
DOS at the Fermi energy in states/eV/cell: 14.5
ΔE_f in eV/atom: -0.6667
Calculated volume in Å³ per atom: 25.85

=====

Material: TbHo4Pd2
Method: DFT, PBE
State: relaxed

Cell: 7.805 6.354 8.087 Å, 90.00 112.77 90.00°
Space group P2_1/m (No. 11)
Asymmetric unit:
Tb 0.154 0.250 0.025
Ho 0.021 0.250 0.392
Ho 0.246 0.750 0.348
Ho 0.407 0.004 0.770
Pd 0.240 0.750 0.992
Pd 0.382 0.250 0.419

Relative energy among the computed polymorphs in eV per atom: 0.0000
VASP energy in eV/atom: -5.20
Spin magnetization in μB/atom: 0.00
DOS at the Fermi energy in states/eV/cell: 17.2
ΔE_f in eV/atom: -0.4427
Calculated volume in Å³ per atom: 26.42

=====

Material: Tb3HoPd6
Method: DFT, PBE
State: relaxed

Cell: 8.123 4.624 11.330 Å, 90.00 103.69 90.00°
Space group P2_1/m (No. 11)
Asymmetric unit:
Tb 0.013 0.250 0.121
Tb 0.138 0.250 0.688
Tb 0.311 0.750 0.507
Ho 0.405 0.750 0.091
Pd 0.062 0.250 0.417
Pd 0.167 0.750 0.246
Pd 0.238 0.250 0.947
Pd 0.354 0.250 0.312
Pd 0.356 0.750 0.803
Pd 0.460 0.250 0.656

VASP energy in eV/atom: -5.81
Spin magnetization in μB/atom: 0.00
DOS at the Fermi energy in states/eV/cell: 9.8
ΔE_f in eV/atom: -0.8489
Calculated volume in Å³ per atom: 20.68

=====

Material: TbHo3Pd2
Method: DFT, PBE
State: relaxed

Cell: 6.916 13.680 7.062 Å, 90.00 90.00 90.00°
Space group Ibam (No. 72)
Asymmetric unit:
Tb 0.000 0.000 0.000
Ho 0.000 0.235 0.250
Ho 0.000 0.500 0.250
Pd 0.209 0.359 0.000

VASP energy in eV/atom: -5.30
Spin magnetization in μB/atom: 0.00
DOS at the Fermi energy in states/eV/cell: 23.3
ΔE_f in eV/atom: -0.5059
Calculated volume in Å³ per atom: 27.84

=====

Material: TbHo6Pd3
Method: DFT, PBE
State: relaxed

Cell: 11.327 13.143 7.204 Å, 90.00 90.00 90.00°
Space group Cmc2_1 (No. 36)
Asymmetric unit:
Tb 0.000 0.183 0.000
Ho 0.000 0.270 0.479
Ho 0.000 0.466 0.121
Ho 0.169 0.039 0.628
Ho 0.227 0.308 0.781
Pd 0.000 0.077 0.335
Pd 0.189 0.398 0.415

VASP energy in eV/atom: -5.28
Spin magnetization in μB/atom: 0.00
DOS at the Fermi energy in states/eV/cell: 44.4
ΔE_f in eV/atom: -0.5101
Calculated volume in Å³ per atom: 26.81